No. 1
The following is a DFT calculation (PBE) of a geometry-optimized Cs3RbO6 structure.

abc: 8.723 8.723 8.723
angles: 109.56 109.56 109.56
Last column: magnetic moment on the atom in μB.
Fractional coordinates of all 20 atoms:
O1 0.652 0.517 0.872  0.27
O2 0.628 0.983 0.848  0.27
O3 0.517 0.872 0.652  0.27
O4 0.017 0.152 0.372  0.27
O5 0.483 0.128 0.348  0.27
O6 0.128 0.348 0.483  0.27
O7 0.372 0.017 0.152  0.27
O8 0.152 0.372 0.017  0.27
O9 0.872 0.652 0.517  0.27
O10 0.983 0.848 0.628  0.27
O11 0.848 0.628 0.983  0.27
O12 0.348 0.483 0.128  0.27
Cs1 0.782 0.250 0.718  0.00
Cs2 0.250 0.718 0.782  0.00
Cs3 0.218 0.750 0.282  0.00
Cs4 0.750 0.282 0.218  0.00
Cs5 0.718 0.782 0.250  0.00
Cs6 0.282 0.218 0.750  0.00
Rb1 0.000 0.000 0.000  0.01
Rb2 0.500 0.500 0.500  0.01

Calculated values
- ΔE_f (raw): -0.92 eV per atom
- Total DFT energy (no corrections): -84.98 eV per cell


No. 2
The following is a DFT calculation (PBE) of a geometry-optimized MgPaCd2 structure.

abc: 3.169 3.169 8.992
angles: 90.00 90.00 90.00
Last column: magnetic moment on the atom in μB.
Fractional coordinates of all 4 atoms:
Cd1 0.000 0.000 0.228  0.00
Cd2 0.000 0.000 0.772  0.00
Pa1 0.500 0.500 0.500  0.69
Mg1 0.500 0.500 0.000  0.00

Calculated values
- Total DFT energy (no corrections): -12.86 eV per cell
- ΔE_f: 15 meV per atom
- Distance to the lowest polymorph of the same formula: 2.8 kJ/mol of atoms


No. 3
The following is a DFT calculation (PBE) of a geometry-optimized Ag2Sn3GeTe6 structure.

abc: 4.326 8.670 9.647
angles: 102.46 102.96 90.00
Fractional coordinates of all 12 atoms:
Te1 0.997 0.760 0.993
Te2 0.663 0.089 0.327
Te3 0.003 0.240 0.007
Te4 0.329 0.425 0.658
Te5 0.337 0.911 0.673
Te6 0.671 0.575 0.342
Sn1 0.835 0.171 0.670
Sn2 0.165 0.829 0.330
Sn3 0.500 0.500 0.000
Ag1 0.833 0.670 0.666
Ag2 0.167 0.330 0.334
Ge1 0.500 0.000 0.000

Calculated values
- ΔE_f (raw): -0.17 eV per atom
- Total DFT energy (no corrections): -43.22 eV per cell


No. 4
The following is a DFT calculation (PBE) of a geometry-optimized Ga5Fe10Ni structure.

abc: 4.601 6.991 6.991
angles: 83.78 70.79 70.79
Last column: magnetic moment on the atom in μB.
Fractional coordinates of all 16 atoms:
Fe1 0.479 0.697 0.839  2.34
Fe2 0.176 0.839 0.303  2.34
Fe3 0.521 0.161 0.303  2.34
Fe4 0.986 0.839 0.697  2.34
Fe5 0.682 0.303 0.839  2.34
Fe6 0.014 0.303 0.161  2.34
Fe7 0.000 0.500 0.500  2.34
Fe8 0.500 0.500 0.500  2.34
Fe9 0.318 0.161 0.697  2.34
Fe10 0.824 0.697 0.161  2.34
Ga1 0.580 0.841 0.500  -0.14
Ga2 0.920 0.159 0.500  -0.14
Ga3 0.500 0.000 0.000  -0.13
Ga4 0.420 0.500 0.159  -0.14
Ga5 0.080 0.500 0.841  -0.14
Ni1 0.000 0.000 0.000  0.57

Calculated values
- Total DFT energy (no corrections): -106.47 eV per cell
- ΔE_f: -58 meV per atom


Per-record magnetic moment, μB per atom: 0.20, 0.20, 0.00, 1.44